# AcDy2Te4 (GGA-PBE, relaxed)
# Formation energy (no corrections)   -10.1 eV per formula unit
# Raw total energy   -5.1444 eV per atom
data_AcDy2Te4
_cell_length_a 4.438
_cell_length_b 14.379
_cell_length_c 15.085
_cell_angle_alpha 90.00
_cell_angle_beta 90.00
_cell_angle_gamma 90.00
_space_group_name_H-M_alt 'C m c m'
_space_group_IT_number 63
_space_group_name_Hall '-C 2c 2'
loop_
_atom_site_label
_atom_site_type_symbol
_atom_site_fract_x
_atom_site_fract_y
_atom_site_fract_z
Ac1 Ac 0.000 0.121 0.250
Dy1 Dy 0.000 0.370 0.063
Te1 Te 0.000 0.000 0.000
Te2 Te 0.000 0.271 0.618
Te3 Te 0.000 0.449 0.250


# AcDyTe3 (GGA-PBE, relaxed)
# Formation energy (no corrections)   -7.5 eV per formula unit
# Relative energy among the computed polymorphs   0.019 eV per atom
# Raw total energy   -5.1203 eV per atom
data_AcDyTe3
_cell_length_a 8.474
_cell_length_b 4.604
_cell_length_c 17.606
_cell_angle_alpha 90.00
_cell_angle_beta 90.00
_cell_angle_gamma 90.00
_space_group_name_H-M_alt 'P n m a'
_space_group_IT_number 62
loop_
_space_group_symop_operation_xyz
'x,y,z'
'-x,-y,-z'
'-x+1/2,-y,z+1/2'
'x+1/2,y,-z+1/2'
'x+1/2,-y+1/2,-z+1/2'
'-x+1/2,y+1/2,z+1/2'
'-x,y+1/2,-z'
'x,-y+1/2,z'
loop_
_atom_site_label
_atom_site_type_symbol
_atom_site_fract_x
_atom_site_fract_y
_atom_site_fract_z
Ac1 Ac 0.138 0.250 0.198
Dy1 Dy 0.227 0.750 0.458
Te1 Te 0.010 0.250 0.397
Te2 Te 0.123 0.750 0.057
Te3 Te 0.156 0.250 0.788


# Ac2DyTl3Te6 (GGA-PBE, relaxed)
# Formation energy (no corrections)   -13.3 eV per formula unit
# Raw total energy   -4.3385 eV per atom
data_Ac2DyTl3Te6
_cell_length_a 8.141
_cell_length_b 14.079
_cell_length_c 8.603
_cell_angle_alpha 90.00
_cell_angle_beta 108.38
_cell_angle_gamma 90.00
_space_group_name_H-M_alt 'C 1 2/m 1'
_space_group_IT_number 12
loop_
_space_group_symop_operation_xyz
'x,y,z'
'-x,-y,-z'
'-x,y,-z'
'x,-y,z'
'x+1/2,y+1/2,z'
'-x+1/2,-y+1/2,-z'
'-x+1/2,y+1/2,-z'
'x+1/2,-y+1/2,z'
loop_
_atom_site_label
_atom_site_type_symbol
_atom_site_fract_x
_atom_site_fract_y
_atom_site_fract_z
Ac1 Ac 0.000 0.166 0.000
Dy1 Dy 0.000 0.500 0.000
Tl1 Tl 0.000 0.000 0.500
Tl2 Tl 0.000 0.330 0.500
Te1 Te 0.231 0.343 0.221
Te2 Te 0.239 0.500 0.775


# Ac3DyTl4Te8 (GGA-PBE, relaxed)
# Formation energy (no corrections)   -17.8 eV per formula unit
# Raw total energy   -4.3335 eV per atom
data_Ac3DyTl4Te8
_cell_length_a 9.4508
_cell_length_b 9.4508
_cell_length_c 24.5008
_cell_angle_alpha 90.00
_cell_angle_beta 90.00
_cell_angle_gamma 120.00
_space_group_name_H-M_alt 'R -3 m'
_space_group_IT_number 166
_space_group_name_Hall '-R 3 2"'
loop_
_atom_site_label
_atom_site_type_symbol
_atom_site_fract_x
_atom_site_fract_y
_atom_site_fract_z
Ac1 Ac 0.0000 0.5000 0.0000
Dy1 Dy 0.0000 0.0000 0.0000
Tl1 Tl 0.0000 0.0000 0.5000
Tl2 Tl 0.0000 0.5000 0.5000
Te1 Te 0.0000 0.0000 0.2562
Te2 Te 0.0172 0.5086 0.7406